Density functional theory data (GGA-PBE) for crystalline Co2TeRhC at its relaxed geometry.

## Properties
Formation energy from raw total energies (kJ/mol of formula units): 987
Theoretical density (g/cm3): 6.69

```
Co2TeRhC
1.0
4.609 0.000 0.000
0.000 4.609 0.000
0.000 0.000 4.208
Co Te Rh C
2 1 1 1
Direct
0.000 0.500 0.000
0.500 0.000 0.000
0.000 0.000 0.000
0.500 0.500 0.500
0.000 0.000 0.500
```

---

Density functional theory data (GGA-PBE) for crystalline V2CoRhC at its relaxed geometry.

## Properties
Theoretical density (g/cm3): 7.83
Energy relative to the elements (kJ/mol of formula units): -100

```
V2CoRhC
1.0
3.960 0.000 0.000
0.000 3.960 0.000
0.000 0.000 3.729
V Co Rh C
2 1 1 1
Direct
0.000 0.500 0.000
0.500 0.000 0.000
0.000 0.000 0.500
0.500 0.500 0.500
0.000 0.000 0.000
```

---

Density functional theory data (GGA-PBE) for crystalline CoRhW2C at its relaxed geometry.

## Properties
Theoretical density (g/cm3): 12.37
Energy relative to the elements (kJ/mol of formula units): 652

```
CoRhW2C
1.0
4.644 0.000 0.000
0.000 4.644 0.000
0.000 0.000 3.370
Co Rh W C
1 1 2 1
Direct
0.000 0.000 0.000
0.500 0.500 0.500
0.000 0.500 0.000
0.500 0.000 0.000
0.000 0.000 0.500
```

---

Density functional theory data (GGA-PBE) for crystalline YCoRh2C at its relaxed geometry.

## Properties
Theoretical density (g/cm3): 8.77
Energy relative to the elements (kJ/mol of formula units): -174

```
YCoRh2C
1.0
4.210 0.000 0.000
0.000 4.210 0.000
0.000 0.000 3.904
Y Co Rh C
1 1 2 1
Direct
0.000 0.000 0.000
0.500 0.500 0.000
0.000 0.500 0.500
0.500 0.000 0.500
0.500 0.500 0.500
```

---

Density functional theory data (GGA-PBE) for crystalline Y2CoRhC at its relaxed geometry.

## Properties
Theoretical density (g/cm3): 6.64
Energy relative to the elements (kJ/mol of formula units): -219

```
Y2CoRhC
1.0
4.966 0.000 0.000
0.000 4.966 0.000
0.000 0.000 3.568
Y Co Rh C
2 1 1 1
Direct
0.000 0.500 0.000
0.500 0.000 0.000
0.000 0.000 0.500
0.500 0.500 0.500
0.000 0.000 0.000
```

---

Density functional theory data (GGA-PBE) for crystalline ZnCo2RhC at its relaxed geometry.

## Properties
Theoretical density (g/cm3): 8.67
Energy relative to the elements (kJ/mol of formula units): -11

```
ZnCo2RhC
1.0
3.759 0.000 0.000
0.000 3.759 0.000
0.000 0.000 4.040
Zn Co Rh C
1 2 1 1
Direct
0.000 0.000 0.000
0.000 0.500 0.500
0.500 0.000 0.500
0.500 0.500 0.000
0.500 0.500 0.500
```

---

Density functional theory data (GGA-PBE) for crystalline CoRuC2 at its relaxed geometry.

## Properties
Excess energy over the best structure of this formula in the dataset (meV/atom): 0
Theoretical density (g/cm3): 7.07
Energy relative to the elements (kJ/mol of formula units): 210

```
CoRuC2
1.0
-2.226 2.226 4.361
2.226 -2.226 4.361
2.226 2.226 -4.361
Co Ru C
2 2 4
Direct
0.000 0.000 0.000
0.750 0.250 0.500
0.250 0.750 0.500
0.500 0.500 0.000
0.106 0.625 0.981
0.375 0.356 0.481
0.644 0.125 0.019
0.875 0.894 0.519
```

---

Density functional theory data (GGA-PBE) for crystalline CoRu2C2 at its relaxed geometry.

## Properties
Excess energy over the best structure of this formula in the dataset (meV/atom): 185
Theoretical density (g/cm3): 9.62
Energy relative to the elements (kJ/mol of formula units): 392

```
CoRu2C2
1.0
6.008 0.000 0.000
0.000 6.008 0.000
0.000 0.000 2.726
Co Ru C
2 4 4
Direct
0.000 0.000 0.000
0.500 0.500 0.000
0.153 0.347 0.500
0.347 0.847 0.500
0.653 0.153 0.500
0.847 0.653 0.500
0.162 0.662 0.000
0.338 0.162 0.000
0.662 0.838 0.000
0.838 0.338 0.000
```